CrAsPt: relaxed, PBE.

Calculated values
- Energy of formation from the pure elements: -0.105 eV per atom
- N(E_F): 0.932 states/eV per atom
- Total magnetization: 3.07 μB per cell

Cell lengths 4.237, 4.237, 4.237 Å; angles 60.00, 60.00, 60.00 degrees
Site moments in Bohr magnetons follow the coordinates.
Atoms (fractional coordinates):
As: 0.000 0.000 0.000  -0.09
Cr: 0.500 0.500 0.500  3.09
Pt: 0.250 0.250 0.250  -0.10


LiTbCoH6: relaxed, PBE.

Calculated values
- Calculated total energy: -36.95 eV for the cell shown
- N(E_F): 0.242 states/eV per atom
- Total magnetization: 0.00 μB per cell

Cell lengths 4.351, 4.351, 4.161 Å; angles 90.00, 90.00, 60.00 degrees
Atoms (fractional coordinates):
Li: 0.667 0.667 0.500
Tb: 0.000 0.000 0.000
Co: 0.333 0.333 0.500
H: 0.032 0.484 0.240
H: 0.484 0.032 0.760
H: 0.484 0.484 0.760
H: 0.032 0.484 0.760
H: 0.484 0.484 0.240
H: 0.484 0.032 0.240


La2PmHo8: relaxed, PBE.

Calculated values
- Energy of formation from the pure elements: 0.120 eV per atom
- Relative energy among the computed polymorphs: 0.090 eV/atom
- N(E_F): 1.349 states/eV per atom
- Total magnetization: 0.00 μB per cell

Cell lengths 5.552, 8.143, 9.424 Å; angles 115.59, 107.13, 90.00 degrees
Atoms (fractional coordinates):
La: 0.201 0.701 0.402
La: 0.799 0.299 0.598
Pm: 0.500 0.000 0.000
Ho: 0.636 0.843 0.272
Ho: 0.364 0.571 0.728
Ho: 0.159 0.160 0.319
Ho: 0.000 0.293 0.000
Ho: 0.841 0.840 0.681
Ho: 0.636 0.429 0.272
Ho: 0.364 0.157 0.728
Ho: 0.000 0.707 0.000


Tb2Be4NiIr3: relaxed, PBE.

Calculated values
- Energy of formation from the pure elements: -0.616 eV per atom
- N(E_F): 0.329 states/eV per atom
- Total magnetization: 0.00 μB per cell

Cell lengths 3.929, 3.929, 9.400 Å; angles 90.00, 90.00, 90.00 degrees
Atoms (fractional coordinates):
Tb: 0.500 0.000 0.253
Tb: 0.000 0.500 0.747
Be: 0.500 0.500 0.000
Be: 0.000 0.000 0.000
Be: 0.500 0.000 0.620
Be: 0.000 0.500 0.380
Ni: 0.500 0.500 0.500
Ir: 0.000 0.000 0.500
Ir: 0.500 0.000 0.871
Ir: 0.000 0.500 0.129


HoErGe: relaxed, PBE.

Calculated values
- Energy of formation from the pure elements: -0.524 eV per atom
- Relative energy among the computed polymorphs: 0.122 eV/atom
- N(E_F): 0.922 states/eV per atom
- Total magnetization: 0.00 μB per cell

Cell lengths 4.843, 4.843, 4.843 Å; angles 60.00, 60.00, 60.00 degrees
Atoms (fractional coordinates):
Ge: 0.250 0.250 0.250
Ho: 0.500 0.500 0.500
Er: 0.000 0.000 0.000


CsTiBi4: relaxed, PBE.

Calculated values
- Energy of formation from the pure elements: -0.257 eV per atom
- N(E_F): 0.196 states/eV per atom
- Total magnetization: 0.00 μB per cell

Cell lengths 5.114, 9.807, 11.017 Å; angles 116.43, 103.46, 90.00 degrees
Atoms (fractional coordinates):
Cs: 0.812 0.812 0.624
Cs: 0.188 0.188 0.376
Ti: 0.249 0.500 0.000
Ti: 0.751 0.500 0.000
Bi: 0.145 0.644 0.288
Bi: 0.398 0.197 0.796
Bi: 0.000 0.218 0.000
Bi: 0.602 0.402 0.204
Bi: 0.855 0.356 0.712
Bi: 0.602 0.803 0.204
Bi: 0.000 0.782 0.000
Bi: 0.398 0.598 0.796


In4Bi2S9: relaxed, PBE.

Calculated values
- Formation energy from raw total energies: -438 meV per atom
- Relative energy among the computed polymorphs: 0.041 eV/atom
- Total magnetization: 0.00 μB per cell

Cell lengths 6.818, 6.817, 18.333 Å; angles 90.01, 90.00, 60.00 degrees
Atoms (fractional coordinates):
In: 0.333 0.333 0.979
In: 0.333 0.333 0.479
In: 0.667 0.667 0.021
In: 0.333 0.333 0.185
In: 0.667 0.667 0.521
In: 0.666 0.667 0.315
In: 0.334 0.333 0.685
In: 0.667 0.667 0.815
Bi: 0.000 0.000 0.354
Bi: 0.000 0.000 0.146
Bi: 0.000 0.000 0.646
Bi: 0.000 0.000 0.854
S: 0.001 0.317 0.750
S: 0.318 0.683 0.750
S: 0.683 0.000 0.750
S: 0.999 0.683 0.250
S: 0.682 0.317 0.250
S: 0.317 0.000 0.250
S: 0.652 0.964 0.419
S: 0.964 0.384 0.419
S: 0.384 0.652 0.419
S: 0.616 0.036 0.081
S: 0.348 0.616 0.081
S: 0.036 0.348 0.081
S: 0.348 0.036 0.581
S: 0.036 0.616 0.581
S: 0.616 0.348 0.581
S: 0.384 0.964 0.919
S: 0.652 0.384 0.919
S: 0.964 0.652 0.919


LaHfRe3: relaxed, PBE.

Calculated values
- Energy of formation from the pure elements: 1.660 eV per atom
- Relative energy among the computed polymorphs: 0.000 eV/atom
- N(E_F): 2.407 states/eV per atom
- Total magnetization: 0.00 μB per cell

Cell lengths 4.887, 4.887, 4.887 Å; angles 90.00, 90.00, 90.00 degrees
Atoms (fractional coordinates):
Re: 0.000 0.500 0.000
Re: 0.000 0.000 0.500
Re: 0.500 0.000 0.000
Hf: 0.000 0.000 0.000
La: 0.500 0.500 0.500